The following is a DFT calculation (PBE+U) of crystalline AcCoIO6 at its relaxed geometry.

a = 5.2147 Å, b = 5.2147 Å, c = 5.4511 Å
α = 90.00°, β = 90.00°, γ = 120.00°
Space group P312 (No. 149)
Unique sites:
Ac  0.0000  0.0000  0.0000 (multiplicity 1)
Co  0.3333  0.6667  0.5000 (multiplicity 1)
I  0.6667  0.3333  0.5000 (multiplicity 1)
O  0.0127  0.3818  0.7046 (multiplicity 6)

## Properties
* magnetization: 0.90 μB/f.u.
* electronic total energy: -5.865 eV/atom
* calculated volume: 128.4 Å³/f.u.